1.
Crystalline SmHoO at its relaxed geometry, computed with PBE.

The structure in extended XYZ format:
```
3
Lattice="3.550 0.000 0.000 -1.775 3.074 0.000 0.000 0.000 5.883" Properties=species:S:1:pos:R:3 pbc="T T T"
O 0.000 2.049 4.025
Ho 0.000 0.000 5.242
Sm 1.775 1.025 2.498
```

Output
DOS at the Fermi energy in states/eV/f.u.: 1.97
Crystal system: trigonal
Magnetic moment in μB per atom: 0.006

2.
Crystalline SmHoO at its relaxed geometry, computed with PBE.

The structure in extended XYZ format:
```
12
Lattice="5.038 0.000 0.000 -2.519 5.360 2.279 0.000 0.082 9.295" Properties=species:S:1:pos:R:3 pbc="T T T"
Ho 0.000 1.250 5.800
Ho 0.000 1.208 1.152
Ho 2.519 4.234 10.422
Ho 2.519 4.192 5.775
Sm 2.519 1.601 8.120
Sm 0.000 3.884 8.103
Sm 2.519 1.559 3.472
Sm 0.000 3.841 3.454
O 0.000 1.269 3.475
O 0.000 1.311 8.123
O 2.519 4.131 3.452
O 2.519 4.174 8.100
```

Output
DOS at the Fermi energy in states/eV/f.u.: 2.10
Crystal system: orthorhombic
Magnetic moment in μB per atom: 0.000

The computed energies, referenced to the most stable structure and given in meV/atom, are 1 112; 2 0.